Entry 1:
This record from the Alexandria database describes a geometry-optimized SmErAsS structure. The functional is PBE-GGA.

The structure in POSCAR format:
```
SmErAsS
1.0
3.9757 -0.0007 0.0000
-1.9876 3.4438 0.0001
-1.9866 -1.1473 7.0046
Sm Er As S
1 1 1 1
Direct
0.9627 0.3794 0.3571
0.3091 0.5525 0.8769
0.1272 0.9616 0.1040
0.4789 0.1374 0.6317
```

Calculated values
- Formation energy without anion corrections: -6.7 eV/f.u.
- Total magnetization: 0.325 μB/f.u.
- N(E_F): 2.5 states/eV per cell
- V: 96 Å³ per cell
- Total energy: -6.198 eV/atom

---

Entry 2:
This record from the Alexandria database describes a geometry-optimized YSc2Tl2Ag2 structure. The functional is PBE-GGA.

The structure in POSCAR format:
```
YSc2Tl2Ag2
1.0
-0.4528 -4.5149 -1.4412
2.3887 -1.5291 -3.8238
7.0783 -4.2246 3.1474
Y Sc Tl Ag
1 2 2 2
Direct
0.0000 0.0000 0.0000
0.1361 0.1361 0.5917
0.8639 0.8639 0.4083
0.7369 0.7369 0.7894
0.2631 0.2631 0.2106
0.5592 0.5592 0.3224
0.4408 0.4408 0.6776
```

Calculated values
- Total magnetization: 0.000 μB/f.u.
- N(E_F): 7.0 states/eV per cell
- V: 165 Å³ per cell
- Total energy: -4.394 eV/atom

---

Entry 3:
This record from the Alexandria database describes a geometry-optimized V2RhSe4 structure. The functional is PBE-GGA.

The structure in POSCAR format:
```
V2RhSe4
1.0
-1.1572 0.9249 -4.7746
4.1961 -2.2914 -1.4609
-1.4745 -5.9748 -3.4172
Rh Se V
1 4 2
Direct
0.0000 0.0000 0.0000
0.7957 0.7957 0.4086
0.2043 0.2043 0.5914
0.0000 0.5000 0.0000
0.5000 0.0000 0.0000
0.6092 0.6092 0.7815
0.3908 0.3908 0.2185
```

Calculated values
- Formation energy without anion corrections: 0.4 eV/f.u.
- Total magnetization: 4.056 μB/f.u.
- N(E_F): 4.7 states/eV per cell
- Polymorph energy (0 for the lowest one): 2.57 eV/f.u.
- V: 152 Å³ per cell
- Total energy: -5.592 eV/atom

---

Entry 4:
This record from the Alexandria database describes a geometry-optimized Ba2YMg structure. The functional is PBE-GGA.

The structure in POSCAR format:
```
Ba2YMg
1.0
7.5447 0.0017 0.0086
3.7327 6.5567 -0.0086
-4.8524 -4.6312 3.4538
Ba Mg Y
2 1 1
Direct
0.0098 0.0098 0.0000
0.7222 0.2222 0.5000
0.4817 0.4817 0.0000
0.2863 0.7863 0.5000
```

Calculated values
- Total magnetization: 0.000 μB/f.u.
- N(E_F): 6.0 states/eV per cell
- V: 171 Å³ per cell
- Total energy: -2.848 eV/atom

---

Entry 5:
This record from the Alexandria database describes a geometry-optimized Ta3C structure. The functional is PBE-GGA.

The structure in POSCAR format:
```
Ta3C
1.0
-0.8790 -6.3399 7.6700
-0.6612 -1.6993 9.8219
-1.7794 4.2041 -8.8856
Ta C
6 2
Direct
0.0000 0.5000 0.5000
0.5000 0.0000 0.5000
0.7500 0.2500 0.5000
0.2500 0.7500 0.5000
0.8779 0.8779 0.0000
0.1221 0.1221 0.0000
0.5818 0.5818 0.0000
0.4182 0.4182 0.0000
```

Calculated values
- Total magnetization: 0.000 μB/f.u.
- N(E_F): 7.0 states/eV per cell
- Polymorph energy (0 for the lowest one): 4.70 eV/f.u.
- V: 127 Å³ per cell
- Total energy: -10.384 eV/atom

---

Entry 6:
This record from the Alexandria database describes a geometry-optimized KBa3Pt8 structure. The functional is PBE-GGA.

The structure in POSCAR format:
```
KBa3Pt8
1.0
-0.1923 4.8976 -2.8582
-4.9649 2.6303 -0.7906
-0.5118 7.1583 6.6688
K Ba Pt
1 3 8
Direct
0.8741 0.8741 0.3777
0.3760 0.3760 0.8721
0.9964 0.9964 0.0109
0.5032 0.5032 0.4905
0.9393 0.4368 0.1872
0.4369 0.9378 0.6876
0.4368 0.4368 0.1872
0.9378 0.9378 0.6876
0.1877 0.1877 0.4370
0.6875 0.6875 0.9376
0.4368 0.9393 0.1872
0.9378 0.4369 0.6876
```

Calculated values
- Total magnetization: 0.000 μB/f.u.
- N(E_F): 4.1 states/eV per cell
- V: 257 Å³ per cell
- Total energy: -5.242 eV/atom